# NaHg6Bi | Alexandria via LeMat-Bulk | PBE | relaxed
# ρ	10.88	g/cm3
# crystal system	orthorhombic
# polymorph energy (0 for the lowest one)	0	meV/atom
data_NaHg6Bi
_space_group_name_H-M_alt 'P 1'
_space_group_IT_number 1
_space_group_name_Hall 'P 1'
_cell_length_a 5.7798
_cell_length_b 6.4399
_cell_length_c 6.4399
_cell_angle_alpha 113.90
_cell_angle_beta 90.00
_cell_angle_gamma 90.00
loop_
_atom_site_label
_atom_site_type_symbol
_atom_site_fract_x
_atom_site_fract_y
_atom_site_fract_z
_atom_site_occupancy
Na1 Na 0.5000 0.0000 0.0000 1
Bi1 Bi 0.5000 0.5000 0.5000 1
Hg1 Hg 0.0000 0.7292 0.7292 1
Hg2 Hg 0.5000 0.0000 0.5000 1
Hg3 Hg 0.5000 0.5000 0.0000 1
Hg4 Hg 0.0000 0.7688 0.2312 1
Hg5 Hg 0.0000 0.2312 0.7688 1
Hg6 Hg 0.0000 0.2708 0.2708 1


# Na8HgBi2 | Alexandria via LeMat-Bulk | PBE | relaxed
# ρ	3.95	g/cm3
# crystal system	orthorhombic
# total DFT energy (no corrections)	-21.68	eV/cell
data_Na8HgBi2
_space_group_name_H-M_alt 'P 1'
_space_group_IT_number 1
_space_group_name_Hall 'P 1'
_cell_length_a 5.2810
_cell_length_b 8.9221
_cell_length_c 8.8454
_cell_angle_alpha 120.32
_cell_angle_beta 107.37
_cell_angle_gamma 90.00
loop_
_atom_site_label
_atom_site_type_symbol
_atom_site_fract_x
_atom_site_fract_y
_atom_site_fract_z
_atom_site_occupancy
Na1 Na 0.1467 0.1470 0.2933 1
Na2 Na 0.3397 0.5523 0.6795 1
Na3 Na 0.6603 0.4477 0.3205 1
Na4 Na 0.3394 0.1271 0.6788 1
Na5 Na 0.0002 0.6857 0.0003 1
Na6 Na 0.8533 0.8530 0.7067 1
Na7 Na 0.9998 0.3143 0.9997 1
Na8 Na 0.6606 0.8729 0.3212 1
Bi1 Bi 0.1976 0.6974 0.3952 1
Bi2 Bi 0.8024 0.3026 0.6048 1
Hg1 Hg 0.5000 0.0000 0.0000 1


# Na6Hg6Bi | Alexandria via LeMat-Bulk | PBE | relaxed
# ρ	6.94	g/cm3
# crystal system	hexagonal
# total DFT energy (no corrections)	-16.22	eV/cell
data_Na6Hg6Bi
_space_group_name_H-M_alt 'P 1'
_space_group_IT_number 1
_space_group_name_Hall 'P 1'
_cell_length_a 6.3356
_cell_length_b 6.3356
_cell_length_c 10.6776
_cell_angle_alpha 90.00
_cell_angle_beta 90.00
_cell_angle_gamma 120.01
loop_
_atom_site_label
_atom_site_type_symbol
_atom_site_fract_x
_atom_site_fract_y
_atom_site_fract_z
_atom_site_occupancy
Na1 Na 0.6667 0.3333 0.5000 1
Na2 Na 0.0000 0.0000 0.3081 1
Na3 Na 0.6667 0.3333 0.0000 1
Na4 Na 0.3333 0.6667 0.5000 1
Na5 Na 0.3333 0.6667 0.0000 1
Na6 Na 0.0000 0.0000 0.6919 1
Hg1 Hg 0.5000 0.0000 0.7489 1
Hg2 Hg 0.0000 0.5000 0.7489 1
Hg3 Hg 0.5000 0.5000 0.2511 1
Hg4 Hg 0.5000 0.0000 0.2511 1
Hg5 Hg 0.0000 0.5000 0.2511 1
Hg6 Hg 0.5000 0.5000 0.7489 1
Bi1 Bi 0.0000 0.0000 0.0000 1


# Na4Hg3Bi | Alexandria via LeMat-Bulk | PBE | relaxed
# ρ	7.00	g/cm3
# crystal system	monoclinic
# polymorph energy (0 for the lowest one)	16	meV/atom
data_Na4Hg3Bi
_space_group_name_H-M_alt 'P 1'
_space_group_IT_number 1
_space_group_name_Hall 'P 1'
_cell_length_a 4.8900
_cell_length_b 4.8907
_cell_length_c 9.6130
_cell_angle_alpha 105.08
_cell_angle_beta 104.73
_cell_angle_gamma 90.00
loop_
_atom_site_label
_atom_site_type_symbol
_atom_site_fract_x
_atom_site_fract_y
_atom_site_fract_z
_atom_site_occupancy
Bi1 Bi 0.5000 0.0000 0.0000 1
Na1 Na 0.3756 0.3751 0.7511 1
Na2 Na 0.6244 0.6249 0.2489 1
Na3 Na 0.8756 0.8753 0.7511 1
Na4 Na 0.1244 0.1247 0.2489 1
Hg1 Hg 0.7518 0.2500 0.5037 1
Hg2 Hg 0.0000 0.5000 0.0000 1
Hg3 Hg 0.2482 0.7500 0.4963 1


# Na2Hg6Bi | Alexandria via LeMat-Bulk | PBE | relaxed
# ρ	10.09	g/cm3
# crystal system	monoclinic
# polymorph energy (0 for the lowest one)	11	meV/atom
data_Na2Hg6Bi
_space_group_name_H-M_alt 'P 1'
_space_group_IT_number 1
_space_group_name_Hall 'P 1'
_cell_length_a 3.4966
_cell_length_b 9.1902
_cell_length_c 9.1902
_cell_angle_alpha 56.35
_cell_angle_beta 78.99
_cell_angle_gamma 78.99
loop_
_atom_site_label
_atom_site_type_symbol
_atom_site_fract_x
_atom_site_fract_y
_atom_site_fract_z
_atom_site_occupancy
Hg1 Hg 0.5000 0.6738 0.3262 1
Hg2 Hg 0.3215 0.9996 0.3485 1
Hg3 Hg 0.3215 0.3485 0.9996 1
Hg4 Hg 0.6785 0.6515 0.0004 1
Hg5 Hg 0.6785 0.0004 0.6515 1
Hg6 Hg 0.5000 0.3262 0.6738 1
Na1 Na 0.8483 0.6471 0.6471 1
Na2 Na 0.1517 0.3529 0.3529 1
Bi1 Bi 0.0000 0.0000 0.0000 1


# Na3Hg2Bi4 | Alexandria via LeMat-Bulk | PBE | relaxed
# ρ	8.05	g/cm3
# crystal system	triclinic
# polymorph energy (0 for the lowest one)	0	meV/atom
data_Na3Hg2Bi4
_space_group_name_H-M_alt 'P 1'
_space_group_IT_number 1
_space_group_name_Hall 'P 1'
_cell_length_a 6.4084
_cell_length_b 6.3905
_cell_length_c 9.7626
_cell_angle_alpha 76.68
_cell_angle_beta 62.81
_cell_angle_gamma 49.58
loop_
_atom_site_label
_atom_site_type_symbol
_atom_site_fract_x
_atom_site_fract_y
_atom_site_fract_z
_atom_site_occupancy
Na1 Na 0.5328 0.8556 0.3379 1
Na2 Na 0.4672 0.1444 0.6621 1
Na3 Na 0.0000 0.0000 0.0000 1
Bi1 Bi 0.2684 0.3272 0.0609 1
Bi2 Bi 0.7829 0.4469 0.6473 1
Bi3 Bi 0.7316 0.6728 0.9391 1
Bi4 Bi 0.2171 0.5531 0.3527 1
Hg1 Hg 0.1213 0.8084 0.6689 1
Hg2 Hg 0.8787 0.1916 0.3311 1


# NaHg2Bi | Alexandria via LeMat-Bulk | PBE | relaxed
# ρ	8.87	g/cm3
# crystal system	tetragonal
# total DFT energy (no corrections)	-12.08	eV/cell
data_NaHg2Bi
_space_group_name_H-M_alt 'P 1'
_space_group_IT_number 1
_space_group_name_Hall 'P 1'
_cell_length_a 4.7206
_cell_length_b 4.7206
_cell_length_c 11.1489
_cell_angle_alpha 77.78
_cell_angle_beta 77.78
_cell_angle_gamma 90.00
loop_
_atom_site_label
_atom_site_type_symbol
_atom_site_fract_x
_atom_site_fract_y
_atom_site_fract_z
_atom_site_occupancy
Hg1 Hg 0.3750 0.3762 0.7500 1
Hg2 Hg 0.6238 0.1250 0.2500 1
Hg3 Hg 0.1262 0.6250 0.2500 1
Hg4 Hg 0.8750 0.8738 0.7500 1
Bi1 Bi 0.7500 0.2500 0.5000 1
Bi2 Bi 0.0000 0.0000 0.0000 1
Na1 Na 0.2500 0.7500 0.5000 1
Na2 Na 0.5000 0.5000 0.0000 1


# NaHg5Bi | Alexandria via LeMat-Bulk | PBE | relaxed
# ρ	9.95	g/cm3
# crystal system	monoclinic
# total DFT energy (no corrections)	-7.02	eV/cell
data_NaHg5Bi
_space_group_name_H-M_alt 'P 1'
_space_group_IT_number 1
_space_group_name_Hall 'P 1'
_cell_length_a 7.3427
_cell_length_b 6.7483
_cell_length_c 6.2522
_cell_angle_alpha 79.52
_cell_angle_beta 54.04
_cell_angle_gamma 57.04
loop_
_atom_site_label
_atom_site_type_symbol
_atom_site_fract_x
_atom_site_fract_y
_atom_site_fract_z
_atom_site_occupancy
Bi1 Bi 0.6703 0.9820 0.6774 1
Na1 Na 0.1466 0.4600 0.2467 1
Hg1 Hg 0.1622 0.9756 0.1361 1
Hg2 Hg 0.4097 0.5404 0.6401 1
Hg3 Hg 0.1619 0.0739 0.6024 1
Hg4 Hg 0.7232 0.5230 0.0306 1
Hg5 Hg 0.7261 0.9756 0.1361 1